AsP2Pb6Br3 (PBE, relaxed); E = -3.93 eV/atom; formation energy from raw total energies = -365 meV per atom
1.0
7.499 0.000 0.000
-3.748 6.495 0.000
-1.252 -2.167 7.519
As P Pb Br
1 2 6 3
Direct
0.000 0.000 0.000
0.333 0.667 0.000
0.667 0.333 0.000
0.931 0.591 0.793
0.729 0.729 0.207
0.069 0.409 0.207
0.591 0.931 0.793
0.271 0.271 0.793
0.409 0.069 0.207
0.165 0.835 0.500
0.835 0.165 0.500
0.500 0.500 0.500